Li2TmSnSe4, optimized geometry, DFT PBE-GGA; formation energy from raw total energies = -1.184 eV/atom
1.0
6.901 0.000 0.000
0.000 3.996 0.000
-2.420 0.000 6.609
Li Tm Sn Se
2 1 1 4
Direct
0.000 0.000 0.000 Li
0.000 0.500 0.500 Li
0.500 0.000 0.500 Tm
0.500 0.500 0.000 Sn
0.243 0.000 0.742 Se
0.248 0.500 0.249 Se
0.752 0.500 0.751 Se
0.757 0.000 0.258 Se


LiTm2Sn3Se6, optimized geometry, DFT PBE-GGA; formation energy from raw total energies = -0.995 eV/atom
1.0
9.167 -2.018 0.000
9.167 2.018 0.000
-3.089 0.000 8.499
Li Tm Sn Se
1 2 3 6
Direct
0.000 0.000 0.000 Li
0.343 0.343 0.661 Tm
0.657 0.657 0.339 Tm
0.000 0.000 0.500 Sn
0.327 0.327 0.127 Sn
0.673 0.673 0.873 Sn
0.150 0.150 0.120 Se
0.174 0.174 0.572 Se
0.495 0.495 0.248 Se
0.505 0.505 0.752 Se
0.826 0.826 0.428 Se
0.850 0.850 0.880 Se


Li2TmSn3Se6, optimized geometry, DFT PBE-GGA; formation energy from raw total energies = -0.901 eV/atom
1.0
3.545 -6.153 0.000
3.545 6.153 0.000
-2.342 0.000 6.823
Li Tm Sn Se
2 1 3 6
Direct
0.172 0.828 0.000 Li
0.828 0.172 0.000 Li
0.500 0.500 0.000 Tm
0.000 0.000 0.500 Sn
0.336 0.664 0.500 Sn
0.664 0.336 0.500 Sn
0.094 0.421 0.769 Se
0.253 0.253 0.240 Se
0.421 0.094 0.769 Se
0.579 0.906 0.231 Se
0.747 0.747 0.760 Se
0.906 0.579 0.231 Se


What did the third record say?
Li2TmSn3Se6, optimized geometry, DFT PBE-GGA; formation energy from raw total energies = -0.901 eV/atom
1.0
3.545 -6.153 0.000
3.545 6.153 0.000
-2.342 0.000 6.823
Li Tm Sn Se
2 1 3 6
Direct
0.172 0.828 0.000 Li
0.828 0.172 0.000 Li
0.500 0.500 0.000 Tm
0.000 0.000 0.500 Sn
0.336 0.664 0.500 Sn
0.664 0.336 0.500 Sn
0.094 0.421 0.769 Se
0.253 0.253 0.240 Se
0.421 0.094 0.769 Se
0.579 0.906 0.231 Se
0.747 0.747 0.760 Se
0.906 0.579 0.231 Se


> The lowest formation energy from raw total energies belongs to which entry?

Li2TmSnSe4


> formation energy from raw total energies of number 3 (Li2TmSn3Se6)?

-0.901 eV/atom


What did the second record say?
LiTm2Sn3Se6, optimized geometry, DFT PBE-GGA; formation energy from raw total energies = -0.995 eV/atom
1.0
9.167 -2.018 0.000
9.167 2.018 0.000
-3.089 0.000 8.499
Li Tm Sn Se
1 2 3 6
Direct
0.000 0.000 0.000 Li
0.343 0.343 0.661 Tm
0.657 0.657 0.339 Tm
0.000 0.000 0.500 Sn
0.327 0.327 0.127 Sn
0.673 0.673 0.873 Sn
0.150 0.150 0.120 Se
0.174 0.174 0.572 Se
0.495 0.495 0.248 Se
0.505 0.505 0.752 Se
0.826 0.826 0.428 Se
0.850 0.850 0.880 Se